(1)
A plane-wave DFT calculation with GGA-PBE was carried out for an optimized crystal structure of Ni2IrRh.

abc: 2.690 2.690 7.053
angles: 90.00 90.00 90.00
Each line ends with the local moment (μB).
Element x y z (fractional)
Ni: 0.000 0.000 0.010  0.32
Ni: 0.500 0.500 0.238  0.51
Ir: 0.500 0.500 0.761  0.06
Rh: 0.000 0.000 0.491  0.09

Properties
The total moment is 0.95 μB/f.u. The calculation puts the relative energy among the computed polymorphs at 50 meV per atom. The formation energy from the elements comes out at 0.046 eV/atom. As for the space group: P4mm.

=====

(2)
A plane-wave DFT calculation with GGA-PBE was carried out for an optimized crystal structure of NiIr2Rh6.

abc: 4.687 4.695 6.794
angles: 83.47 96.63 60.06
Element x y z (fractional)
Ni: 0.000 0.000 0.500
Ir: 0.437 0.894 0.831
Ir: 0.563 0.106 0.169
Rh: 0.221 0.781 0.170
Rh: 0.888 0.440 0.169
Rh: 0.779 0.219 0.830
Rh: 0.112 0.560 0.831
Rh: 0.335 0.328 0.498
Rh: 0.665 0.672 0.502

Properties
The total moment is 0.00 μB/f.u. The calculation puts the relative energy among the computed polymorphs at 0 meV per atom. The formation energy from the elements comes out at 0.035 eV/atom. As for the space group: P-1.

=====

(3)
A plane-wave DFT calculation with GGA-PBE was carried out for an optimized crystal structure of Ni4Ir2Rh.

abc: 5.131 6.111 9.261
angles: 112.01 56.50 129.23
Each line ends with the local moment (μB).
Element x y z (fractional)
Ni: 0.272 0.240 0.031  0.53
Ni: 0.728 0.760 0.969  0.53
Ni: 0.309 0.234 0.481  0.60
Ni: 0.691 0.766 0.519  0.60
Ni: 0.978 0.464 0.747  0.37
Ni: 0.391 0.999 0.756  0.56
Ni: 0.022 0.536 0.253  0.37
Ni: 0.609 0.001 0.244  0.56
Ir: 0.785 0.229 0.009  0.13
Ir: 0.215 0.771 0.991  0.13
Ir: 0.829 0.230 0.473  0.21
Ir: 0.171 0.770 0.527  0.21
Rh: 0.456 0.445 0.748  0.41
Rh: 0.544 0.555 0.252  0.41

Properties
The total moment is 2.75 μB/f.u. The calculation puts the relative energy among the computed polymorphs at 4 meV per atom. The formation energy from the elements comes out at 0.198 eV/atom. As for the space group: P-1.

=====

(4)
A plane-wave DFT calculation with GGA-PBE was carried out for an optimized crystal structure of Ni2Ir2Rh3.

abc: 4.188 2.589 9.526
angles: 90.00 102.67 90.00
Each line ends with the local moment (μB).
Element x y z (fractional)
Ni: 0.427 0.500 0.856  0.34
Ni: 0.573 0.500 0.144  0.34
Ir: 0.135 0.000 0.270  0.05
Ir: 0.865 0.000 0.730  0.05
Rh: 0.294 0.000 0.588  0.00
Rh: 0.000 0.000 0.000  0.27
Rh: 0.706 0.000 0.412  0.00

Properties
The total moment is 1.01 μB/f.u. The calculation puts the relative energy among the computed polymorphs at 374 meV per atom. The formation energy from the elements comes out at 0.387 eV/atom. As for the space group: P2/m.